## i
Compound: TiB3Cl
Source: Alexandria
Functional: PBE
Structure: relaxed

Geometry as CIF:
```
data_TiB3Cl
_space_group_name_H-M_alt 'P m -3 m'
_space_group_IT_number 221
_space_group_name_Hall '-P 4 2 3'
_cell_length_a 3.8517
_cell_length_b 3.8517
_cell_length_c 3.8517
_cell_angle_alpha 90.00
_cell_angle_beta 90.00
_cell_angle_gamma 90.00
loop_
_atom_site_label
_atom_site_fract_x
_atom_site_fract_y
_atom_site_fract_z
Ti1 0.0000 0.0000 0.0000
B1 0.0000 0.5000 0.5000
Cl1 0.5000 0.5000 0.5000
```


## ii
Compound: TiB3Cl
Source: Alexandria
Functional: PBE
Structure: relaxed

Geometry as CIF:
```
data_TiB3Cl
_space_group_name_H-M_alt 'P m -3 m'
_space_group_IT_number 221
_space_group_name_Hall '-P 4 2 3'
_cell_length_a 4.4498
_cell_length_b 4.4498
_cell_length_c 4.4498
_cell_angle_alpha 90.00
_cell_angle_beta 90.00
_cell_angle_gamma 90.00
loop_
_atom_site_label
_atom_site_fract_x
_atom_site_fract_y
_atom_site_fract_z
Ti1 0.0000 0.0000 0.0000
B1 0.0000 0.0000 0.5000
Cl1 0.5000 0.5000 0.5000
```


Energetically preferred structure: ii | next structure: +1.7 kJ/mol of atoms


## i
Compound: TlBCl2
Source: Alexandria
Functional: PBE
Structure: relaxed

Geometry as CIF:
```
data_TlBCl2
_space_group_name_H-M_alt 'R -3 m'
_space_group_IT_number 166
_space_group_name_Hall '-R 3 2"'
_cell_length_a 3.3795
_cell_length_b 3.3795
_cell_length_c 32.5394
_cell_angle_alpha 90.00
_cell_angle_beta 90.00
_cell_angle_gamma 120.00
loop_
_atom_site_label
_atom_site_fract_x
_atom_site_fract_y
_atom_site_fract_z
Tl1 0.0000 0.0000 0.0000
B1 0.0000 0.0000 0.5000
Cl1 0.0000 0.0000 0.4484
```


## ii
Compound: TlBCl2
Source: Alexandria
Functional: PBE
Structure: relaxed

Geometry as CIF:
```
data_TlBCl2
_space_group_name_H-M_alt 'F -4 3 m'
_space_group_IT_number 216
_space_group_name_Hall 'F -4 2 3'
_cell_length_a 7.1490
_cell_length_b 7.1490
_cell_length_c 7.1490
_cell_angle_alpha 90.00
_cell_angle_beta 90.00
_cell_angle_gamma 90.00
loop_
_atom_site_label
_atom_site_fract_x
_atom_site_fract_y
_atom_site_fract_z
Tl1 0.0000 0.0000 0.0000
B1 0.2500 0.2500 0.2500
Cl1 0.0000 0.0000 0.5000
Cl2 0.2500 0.2500 0.7500
```


## iii
Compound: TlBCl2
Source: Alexandria
Functional: PBE
Structure: relaxed

Geometry as CIF:
```
data_TlBCl2
_space_group_name_H-M_alt 'R -3 m'
_space_group_IT_number 166
_space_group_name_Hall '-R 3 2"'
_cell_length_a 3.4114
_cell_length_b 3.4114
_cell_length_c 26.8104
_cell_angle_alpha 90.00
_cell_angle_beta 90.00
_cell_angle_gamma 120.00
loop_
_atom_site_label
_atom_site_fract_x
_atom_site_fract_y
_atom_site_fract_z
Tl1 0.0000 0.0000 0.0000
B1 0.0000 0.0000 0.5000
Cl1 0.0000 0.0000 0.1163
```


Energetically preferred structure: i | next structure: +24.1 kJ/mol of atoms


## i
Compound: TlBCl2
Source: Alexandria
Functional: PBE
Structure: relaxed

Geometry as CIF:
```
data_TlBCl2
_space_group_name_H-M_alt 'I 41/a m d'
_space_group_IT_number 141
_cell_length_a 6.7817
_cell_length_b 6.7817
_cell_length_c 9.6251
_cell_angle_alpha 90.00
_cell_angle_beta 90.00
_cell_angle_gamma 90.00
loop_
_space_group_symop_operation_xyz
'x,y,z'
'-x,-y,-z'
'-y+1/4,x+3/4,z+1/4'
'y+1/4,-x+3/4,-z+1/4'
'-x+1/2,-y,z+1/2'
'x+1/2,y,-z+1/2'
'y+1/4,-x+1/4,z+3/4'
'-y+1/4,x+1/4,-z+3/4'
'x,-y,-z'
'-x,y,z'
'-y+1/4,-x+1/4,-z+3/4'
'y+1/4,x+1/4,z+3/4'
'-x+1/2,y,-z+1/2'
'x+1/2,-y,z+1/2'
'y+1/4,x+3/4,-z+1/4'
'-y+1/4,-x+3/4,z+1/4'
'x+1/2,y+1/2,z+1/2'
'-x+1/2,-y+1/2,-z+1/2'
'-y+3/4,x+1/4,z+3/4'
'y+3/4,-x+1/4,-z+3/4'
'-x,-y+1/2,z'
'x,y+1/2,-z'
'y+3/4,-x+3/4,z+1/4'
'-y+3/4,x+3/4,-z+1/4'
'x+1/2,-y+1/2,-z+1/2'
'-x+1/2,y+1/2,z+1/2'
'-y+3/4,-x+3/4,-z+1/4'
'y+3/4,x+3/4,z+1/4'
'-x,y+1/2,-z'
'x,-y+1/2,z'
'y+3/4,x+1/4,-z+3/4'
'-y+3/4,-x+1/4,z+3/4'
loop_
_atom_site_label
_atom_site_fract_x
_atom_site_fract_y
_atom_site_fract_z
Tl1 0.0000 0.2500 0.3750
B1 0.0000 0.2500 0.8750
Cl1 0.0000 0.0000 0.0000
```


## ii
Compound: TlBCl2
Source: Alexandria
Functional: PBE
Structure: relaxed

Geometry as CIF:
```
data_TlBCl2
_space_group_name_H-M_alt 'F m -3 m'
_space_group_IT_number 225
_space_group_name_Hall '-F 4 2 3'
_cell_length_a 7.2926
_cell_length_b 7.2926
_cell_length_c 7.2926
_cell_angle_alpha 90.00
_cell_angle_beta 90.00
_cell_angle_gamma 90.00
loop_
_atom_site_label
_atom_site_fract_x
_atom_site_fract_y
_atom_site_fract_z
Tl1 0.0000 0.0000 0.0000
B1 0.0000 0.0000 0.5000
Cl1 0.2500 0.2500 0.2500
```


Energetically preferred structure: i | next structure: +22.1 kJ/mol of atoms


## i
Compound: TlBCl4
Source: Alexandria
Functional: PBE
Structure: relaxed

Geometry as CIF:
```
data_TlBCl4
_space_group_name_H-M_alt 'P 1 21/m 1'
_space_group_IT_number 11
_cell_length_a 4.4191
_cell_length_b 10.3258
_cell_length_c 11.0214
_cell_angle_alpha 90.00
_cell_angle_beta 93.65
_cell_angle_gamma 90.00
loop_
_space_group_symop_operation_xyz
'x,y,z'
'-x,-y,-z'
'-x,y+1/2,-z'
'x,-y+1/2,z'
loop_
_atom_site_label
_atom_site_fract_x
_atom_site_fract_y
_atom_site_fract_z
Tl1 0.0399 0.2500 0.2619
B1 0.1632 0.7500 0.3134
Cl1 0.0387 0.2500 0.8257
Cl2 0.2672 0.6042 0.3868
Cl3 0.4851 0.7500 0.8963
```


## ii
Compound: TlBCl4
Source: Alexandria
Functional: PBE
Structure: relaxed

Geometry as CIF:
```
data_TlBCl4
_space_group_name_H-M_alt 'P 1 21/m 1'
_space_group_IT_number 11
_cell_length_a 6.1877
_cell_length_b 9.6581
_cell_length_c 6.2745
_cell_angle_alpha 90.00
_cell_angle_beta 97.81
_cell_angle_gamma 90.00
loop_
_space_group_symop_operation_xyz
'x,y,z'
'-x,-y,-z'
'-x,y+1/2,-z'
'x,-y+1/2,z'
loop_
_atom_site_label
_atom_site_fract_x
_atom_site_fract_y
_atom_site_fract_z
Tl1 0.1761 0.2500 0.2186
B1 0.3518 0.7500 0.2705
Cl1 0.2275 0.5941 0.1277
Cl2 0.3030 0.7500 0.5569
Cl3 0.3465 0.2500 0.7359
```


Energetically preferred structure: ii | next structure: +9.2 kJ/mol of atoms


## i
Compound: TlBCl3
Source: Alexandria
Functional: PBE
Structure: relaxed

Geometry as CIF:
```
data_TlBCl3
_space_group_name_H-M_alt 'P 1 21/c 1'
_space_group_IT_number 14
_cell_length_a 6.9254
_cell_length_b 7.5787
_cell_length_c 12.2020
_cell_angle_alpha 90.00
_cell_angle_beta 122.60
_cell_angle_gamma 90.00
loop_
_space_group_symop_operation_xyz
'x,y,z'
'-x,-y,-z'
'-x,y+1/2,-z+1/2'
'x,-y+1/2,z+1/2'
loop_
_atom_site_label
_atom_site_fract_x
_atom_site_fract_y
_atom_site_fract_z
Tl1 0.2190 0.0856 0.2494
B1 0.0753 0.5901 0.0466
Cl1 0.1273 0.2303 0.9636
Cl2 0.2568 0.6949 0.9907
Cl3 0.2717 0.5318 0.2252
```


## ii
Compound: TlBCl3
Source: Alexandria
Functional: PBE
Structure: relaxed

Geometry as CIF:
```
data_TlBCl3
_space_group_name_H-M_alt 'P m -3 m'
_space_group_IT_number 221
_space_group_name_Hall '-P 4 2 3'
_cell_length_a 4.6896
_cell_length_b 4.6896
_cell_length_c 4.6896
_cell_angle_alpha 90.00
_cell_angle_beta 90.00
_cell_angle_gamma 90.00
loop_
_atom_site_label
_atom_site_fract_x
_atom_site_fract_y
_atom_site_fract_z
Tl1 0.0000 0.0000 0.0000
B1 0.5000 0.5000 0.5000
Cl1 0.0000 0.5000 0.5000
```


## iii
Compound: TlBCl3
Source: Alexandria
Functional: PBE
Structure: relaxed

Geometry as CIF:
```
data_TlBCl3
_space_group_name_H-M_alt 'P m -3 m'
_space_group_IT_number 221
_space_group_name_Hall '-P 4 2 3'
_cell_length_a 5.4007
_cell_length_b 5.4007
_cell_length_c 5.4007
_cell_angle_alpha 90.00
_cell_angle_beta 90.00
_cell_angle_gamma 90.00
loop_
_atom_site_label
_atom_site_fract_x
_atom_site_fract_y
_atom_site_fract_z
Tl1 0.0000 0.0000 0.0000
B1 0.5000 0.5000 0.5000
Cl1 0.0000 0.0000 0.5000
```


Energetically preferred structure: i | next structure: +77.7 kJ/mol of atoms


## i
Compound: TlB2Cl
Source: Alexandria
Functional: PBE
Structure: relaxed

Geometry as CIF:
```
data_TlB2Cl
_space_group_name_H-M_alt 'I -4 2 d'
_space_group_IT_number 122
_space_group_name_Hall 'I -4 2bw'
_cell_length_a 5.3001
_cell_length_b 5.3001
_cell_length_c 10.8907
_cell_angle_alpha 90.00
_cell_angle_beta 90.00
_cell_angle_gamma 90.00
loop_
_atom_site_label
_atom_site_fract_x
_atom_site_fract_y
_atom_site_fract_z
Tl1 0.0000 0.0000 0.0000
B1 0.2459 0.2500 0.1250
Cl1 0.0000 0.0000 0.5000
```


## ii
Compound: TlB2Cl
Source: Alexandria
Functional: PBE
Structure: relaxed

Geometry as CIF:
```
data_TlB2Cl
_space_group_name_H-M_alt 'F m -3 m'
_space_group_IT_number 225
_space_group_name_Hall '-F 4 2 3'
_cell_length_a 6.5182
_cell_length_b 6.5182
_cell_length_c 6.5182
_cell_angle_alpha 90.00
_cell_angle_beta 90.00
_cell_angle_gamma 90.00
loop_
_atom_site_label
_atom_site_fract_x
_atom_site_fract_y
_atom_site_fract_z
Tl1 0.0000 0.0000 0.0000
B1 0.2500 0.2500 0.2500
Cl1 0.0000 0.0000 0.5000
```


Energetically preferred structure: i | next structure: +42.1 kJ/mol of atoms


## i
Compound: VBCl2
Source: Alexandria
Functional: PBE
Structure: relaxed

Geometry as CIF:
```
data_VBCl2
_space_group_name_H-M_alt 'R -3 m'
_space_group_IT_number 166
_space_group_name_Hall '-R 3 2"'
_cell_length_a 3.4331
_cell_length_b 3.4331
_cell_length_c 22.9984
_cell_angle_alpha 90.00
_cell_angle_beta 90.00
_cell_angle_gamma 120.00
loop_
_atom_site_label
_atom_site_fract_x
_atom_site_fract_y
_atom_site_fract_z
V1 0.0000 0.0000 0.0000
B1 0.0000 0.0000 0.5000
Cl1 0.0000 0.0000 0.1004
```


## ii
Compound: VBCl2
Source: Alexandria
Functional: PBE
Structure: relaxed

Geometry as CIF:
```
data_VBCl2
_space_group_name_H-M_alt 'F m -3 m'
_space_group_IT_number 225
_space_group_name_Hall '-F 4 2 3'
_cell_length_a 6.4108
_cell_length_b 6.4108
_cell_length_c 6.4108
_cell_angle_alpha 90.00
_cell_angle_beta 90.00
_cell_angle_gamma 90.00
loop_
_atom_site_label
_atom_site_fract_x
_atom_site_fract_y
_atom_site_fract_z
V1 0.0000 0.0000 0.0000
B1 0.0000 0.0000 0.5000
Cl1 0.2500 0.2500 0.2500
```


Energetically preferred structure: ii | next structure: +3.0 kJ/mol of atoms


## i
Compound: VBCl2
Source: Alexandria
Functional: PBE
Structure: relaxed

Geometry as CIF:
```
data_VBCl2
_space_group_name_H-M_alt 'R -3 m'
_space_group_IT_number 166
_space_group_name_Hall '-R 3 2"'
_cell_length_a 3.0762
_cell_length_b 3.0762
_cell_length_c 25.7789
_cell_angle_alpha 90.00
_cell_angle_beta 90.00
_cell_angle_gamma 120.00
loop_
_atom_site_label
_atom_site_fract_x
_atom_site_fract_y
_atom_site_fract_z
V1 0.0000 0.0000 0.0000
B1 0.0000 0.0000 0.5000
Cl1 0.0000 0.0000 0.3954
```


## ii
Compound: VBCl2
Source: Alexandria
Functional: PBE
Structure: relaxed

Geometry as CIF:
```
data_VBCl2
_space_group_name_H-M_alt 'I -4 2 d'
_space_group_IT_number 122
_space_group_name_Hall 'I -4 2bw'
_cell_length_a 8.7940
_cell_length_b 8.7940
_cell_length_c 4.3225
_cell_angle_alpha 90.00
_cell_angle_beta 90.00
_cell_angle_gamma 90.00
loop_
_atom_site_label
_atom_site_fract_x
_atom_site_fract_y
_atom_site_fract_z
V1 0.0000 0.0000 0.0000
B1 0.0000 0.0000 0.5000
Cl1 0.0890 0.7500 0.1250
```


Energetically preferred structure: ii | next structure: +31.8 kJ/mol of atoms


## i
Compound: VB2Cl
Source: Alexandria
Functional: PBE
Structure: relaxed

Geometry as CIF:
```
data_VB2Cl
_space_group_name_H-M_alt 'F m -3 m'
_space_group_IT_number 225
_space_group_name_Hall '-F 4 2 3'
_cell_length_a 5.6548
_cell_length_b 5.6548
_cell_length_c 5.6548
_cell_angle_alpha 90.00
_cell_angle_beta 90.00
_cell_angle_gamma 90.00
loop_
_atom_site_label
_atom_site_fract_x
_atom_site_fract_y
_atom_site_fract_z
V1 0.0000 0.0000 0.0000
B1 0.2500 0.2500 0.2500
Cl1 0.0000 0.0000 0.5000
```


## ii
Compound: VB2Cl
Source: Alexandria
Functional: PBE
Structure: relaxed

Geometry as CIF:
```
data_VB2Cl
_space_group_name_H-M_alt 'I -4 2 d'
_space_group_IT_number 122
_space_group_name_Hall 'I -4 2bw'
_cell_length_a 5.2630
_cell_length_b 5.2630
_cell_length_c 7.3717
_cell_angle_alpha 90.00
_cell_angle_beta 90.00
_cell_angle_gamma 90.00
loop_
_atom_site_label
_atom_site_fract_x
_atom_site_fract_y
_atom_site_fract_z
V1 0.0000 0.0000 0.0000
B1 0.2314 0.2500 0.6250
Cl1 0.0000 0.0000 0.5000
```


Energetically preferred structure: ii | next structure: +49.7 kJ/mol of atoms


## i
Compound: Zn2BCl
Source: Alexandria
Functional: PBE
Structure: relaxed

Geometry as CIF:
```
data_Zn2BCl
_space_group_name_H-M_alt 'F m -3 m'
_space_group_IT_number 225
_space_group_name_Hall '-F 4 2 3'
_cell_length_a 6.4162
_cell_length_b 6.4162
_cell_length_c 6.4162
_cell_angle_alpha 90.00
_cell_angle_beta 90.00
_cell_angle_gamma 90.00
loop_
_atom_site_label
_atom_site_fract_x
_atom_site_fract_y
_atom_site_fract_z
Zn1 0.2500 0.2500 0.2500
B1 0.0000 0.0000 0.0000
Cl1 0.0000 0.0000 0.5000
```


## ii
Compound: Zn2BCl
Source: Alexandria
Functional: PBE
Structure: relaxed

Geometry as CIF:
```
data_Zn2BCl
_space_group_name_H-M_alt 'I -4 2 d'
_space_group_IT_number 122
_space_group_name_Hall 'I -4 2bw'
_cell_length_a 5.6278
_cell_length_b 5.6278
_cell_length_c 9.6203
_cell_angle_alpha 90.00
_cell_angle_beta 90.00
_cell_angle_gamma 90.00
loop_
_atom_site_label
_atom_site_fract_x
_atom_site_fract_y
_atom_site_fract_z
Zn1 0.1751 0.2500 0.1250
B1 0.0000 0.0000 0.0000
Cl1 0.0000 0.0000 0.5000
```


Energetically preferred structure: ii | next structure: +74.6 kJ/mol of atoms


## i
Compound: ZnB3Cl
Source: Alexandria
Functional: PBE
Structure: relaxed

Geometry as CIF:
```
data_ZnB3Cl
_space_group_name_H-M_alt 'P m -3 m'
_space_group_IT_number 221
_space_group_name_Hall '-P 4 2 3'
_cell_length_a 3.9039
_cell_length_b 3.9039
_cell_length_c 3.9039
_cell_angle_alpha 90.00
_cell_angle_beta 90.00
_cell_angle_gamma 90.00
loop_
_atom_site_label
_atom_site_fract_x
_atom_site_fract_y
_atom_site_fract_z
Zn1 0.0000 0.0000 0.0000
B1 0.0000 0.5000 0.5000
Cl1 0.5000 0.5000 0.5000
```


## ii
Compound: ZnB3Cl
Source: Alexandria
Functional: PBE
Structure: relaxed

Geometry as CIF:
```
data_ZnB3Cl
_space_group_name_H-M_alt 'P m -3 m'
_space_group_IT_number 221
_space_group_name_Hall '-P 4 2 3'
_cell_length_a 4.1996
_cell_length_b 4.1996
_cell_length_c 4.1996
_cell_angle_alpha 90.00
_cell_angle_beta 90.00
_cell_angle_gamma 90.00
loop_
_atom_site_label
_atom_site_fract_x
_atom_site_fract_y
_atom_site_fract_z
Zn1 0.0000 0.0000 0.0000
B1 0.0000 0.0000 0.5000
Cl1 0.5000 0.5000 0.5000
```


Energetically preferred structure: ii | next structure: +44.3 kJ/mol of atoms


## i
Compound: ZnB2Cl8
Source: Alexandria
Functional: PBE
Structure: relaxed

Geometry as CIF:
```
data_ZnB2Cl8
_space_group_name_H-M_alt 'C 1 2/m 1'
_space_group_IT_number 12
_cell_length_a 10.9667
_cell_length_b 9.9151
_cell_length_c 5.6152
_cell_angle_alpha 90.00
_cell_angle_beta 93.11
_cell_angle_gamma 90.00
loop_
_space_group_symop_operation_xyz
'x,y,z'
'-x,-y,-z'
'-x,y,-z'
'x,-y,z'
'x+1/2,y+1/2,z'
'-x+1/2,-y+1/2,-z'
'-x+1/2,y+1/2,-z'
'x+1/2,-y+1/2,z'
loop_
_atom_site_label
_atom_site_fract_x
_atom_site_fract_y
_atom_site_fract_z
Zn1 0.0000 0.0000 0.0000
B1 0.2030 0.0000 0.6506
Cl1 0.1151 0.1523 0.7653
Cl2 0.1409 0.5000 0.2361
Cl3 0.1966 0.0000 0.3203
```


## ii
Compound: ZnB2Cl8
Source: Alexandria
Functional: PBE
Structure: relaxed

Geometry as CIF:
```
data_ZnB2Cl8
_space_group_name_H-M_alt 'C 1 2/c 1'
_space_group_IT_number 15
_cell_length_a 16.8074
_cell_length_b 8.7581
_cell_length_c 10.5930
_cell_angle_alpha 90.00
_cell_angle_beta 125.47
_cell_angle_gamma 90.00
loop_
_space_group_symop_operation_xyz
'x,y,z'
'-x,-y,-z'
'-x,y,-z+1/2'
'x,-y,z+1/2'
'x+1/2,y+1/2,z'
'-x+1/2,-y+1/2,-z'
'-x+1/2,y+1/2,-z+1/2'
'x+1/2,-y+1/2,z+1/2'
loop_
_atom_site_label
_atom_site_fract_x
_atom_site_fract_y
_atom_site_fract_z
Zn1 0.0000 0.0168 0.2500
B1 0.0838 0.2260 0.5395
Cl1 0.0468 0.2215 0.1336
Cl2 0.0910 0.1932 0.7233
Cl3 0.1440 0.4023 0.5590
Cl4 0.1451 0.0583 0.5122
```


Energetically preferred structure: ii | next structure: +0.7 kJ/mol of atoms